This record from Alexandria describes crystalline SrMg2Cd at its relaxed geometry. The functional is PBE.

abc: 4.478 4.478 11.797
angles: 90.00 90.00 90.00
Element x y z (fractional)
Sr  0.500  0.000  0.234
Sr  0.000  0.500  0.766
Mg  0.500  0.000  0.931
Mg  0.000  0.500  0.069
Mg  0.000  0.000  0.500
Mg  0.500  0.500  0.500
Cd  0.500  0.000  0.670
Cd  0.000  0.500  0.330

Output
ΔE_f (meV/atom): -140
Calculated density (kg/m³): 3491